16
Lattice="6.720 0.000 -0.007 0.000 4.214 0.000 -1.401 0.000 10.896" Properties=species:S:1:pos:R:3 comment="CaAlOs2 (PBE, relaxed)" formation_enthalpy_0k_ev_per_atom=-0.09 pbc="T T T"
Ca 2.012 0.000 8.425
Ca 2.713 2.107 2.977
Ca 5.673 0.000 7.335
Ca 6.374 2.107 1.887
Os 0.493 0.000 4.599
Os -0.208 2.107 10.047
Os 4.869 0.000 3.635
Os 4.169 2.107 9.082
Os 4.239 0.000 1.265
Os 3.539 2.107 6.713
Os 3.078 0.000 5.362
Os 2.377 2.107 10.810
Al 1.948 0.000 0.293
Al 1.247 2.107 5.741
Al 4.686 0.000 10.396
Al 5.386 2.107 4.949

---

8
Lattice="4.655 0.000 0.000 0.000 4.655 0.000 2.327 2.327 8.748" Properties=species:S:1:pos:R:3 comment="CaAlOs2 (PBE, relaxed)" formation_enthalpy_0k_ev_per_atom=0.51 pbc="T T T"
Ca 0.000 0.000 0.000
Ca 4.655 2.327 4.374
Os 2.070 1.164 2.187
Os 2.585 3.491 2.187
Os 3.491 4.913 6.561
Os 5.819 4.397 6.561
Al 2.327 2.327 0.000
Al 2.327 4.655 4.374

---

4
Lattice="2.783 0.000 0.000 0.000 5.277 0.036 0.000 3.348 4.859" Properties=species:S:1:pos:R:3 comment="CaAl2Os (PBE, relaxed)" formation_enthalpy_0k_ev_per_atom=0.28 pbc="T T T"
Ca 1.391 4.313 2.448
Os 0.000 1.674 2.430
Al 0.000 0.000 0.000
Al 1.391 2.639 0.018

---

3
Lattice="-1.842 0.480 -4.212 1.867 -2.211 -3.605 -2.244 -3.536 -1.957" Properties=species:S:1:pos:R:3 comment="CaAlOs (PBE, relaxed)" formation_enthalpy_0k_ev_per_atom=1.36 pbc="T T T"
Ca -1.664 -3.950 -7.331
Os 0.000 0.000 0.000
Al -1.110 -2.634 -4.887

---

8
Lattice="5.054 0.000 0.000 0.000 5.054 0.000 2.527 2.527 8.160" Properties=species:S:1:pos:R:3 comment="CaAl2Os (PBE, relaxed)" formation_enthalpy_0k_ev_per_atom=0.23 pbc="T T T"
Ca 2.527 2.527 0.000
Ca 2.527 5.054 4.080
Os 0.000 0.000 0.000
Os 5.054 2.527 4.080
Al 5.010 1.263 2.040
Al 5.098 3.790 2.040
Al 3.790 2.571 6.120
Al 6.317 2.483 6.120

---

4
Lattice="2.881 0.000 0.000 0.000 2.881 0.000 0.000 0.000 8.427" Properties=species:S:1:pos:R:3 comment="CaAlOs2 (PBE, relaxed)" formation_enthalpy_0k_ev_per_atom=0.01 pbc="T T T"
Ca 1.440 1.440 6.438
Os 0.000 0.000 0.376
Os 1.440 1.440 2.012
Al 0.000 0.000 3.815

---

4
Lattice="-3.769 0.149 -1.698 1.558 -1.039 -3.550 -0.554 -3.875 0.891" Properties=species:S:1:pos:R:3 comment="CaAlOs2 (PBE, relaxed)" formation_enthalpy_0k_ev_per_atom=0.48 pbc="T T T"
Ca -2.162 -1.863 -0.403
Os 0.000 0.000 0.000
Os 0.502 -2.457 -1.330
Al -1.105 -0.445 -2.624

---

4
Lattice="5.664 0.004 -0.003 2.964 4.826 0.003 -3.728 -3.462 2.490" Properties=species:S:1:pos:R:3 comment="CaAlOs2 (PBE, relaxed)" formation_enthalpy_0k_ev_per_atom=0.22 pbc="T T T"
Ca 1.735 1.868 1.246
Os 8.374 4.689 0.000
Os 3.152 -0.506 1.244
Al 4.580 2.564 0.000

---

| no. | theoretical density (kg/m³) |
| --- | --- |
| 1 | 9635 |
| 2 | 7841 |
| 3 | 6646 |
| 4 | 6117 |
| 5 | 4530 |
| 6 | 10627 |
| 7 | 11150 |
| 8 | 10919 |